1.
## YCoAg (PBE)

Data for a relaxed structure of YCoAg.

Structure (extended XYZ):
```
3
Lattice="4.6526 0.0000 0.0000 2.3263 4.0293 0.0000 2.3263 1.3431 3.7989" Properties=species:S:1:pos:R:3 pbc="T T T"
Co 4.6526 2.6862 1.8994
Y 2.3263 1.3431 0.9497
Ag 0.0000 0.0000 0.0000
```

Calculated values
As for the space-group type: F-43m, No. 216. The crystal system is cubic. The formation energy is 63.1 kJ per mole of atoms.

***

2.
## NaP2PbS (PBE)

Data for a relaxed structure of NaP2PbS.

Structure (extended XYZ):
```
5
Lattice="-1.7992 -1.1304 4.8825 4.7304 -2.0962 1.2579 1.6798 4.8340 1.7382" Properties=species:S:1:pos:R:3 pbc="T T T"
Pb 0.0000 0.0000 0.0000
P 2.3652 -1.0481 0.6289
P -0.8996 -0.5652 2.4412
S 0.8399 2.4170 0.8691
Na 2.3056 0.8037 3.9392
```

Calculated values
The energy above the most stable polymorph in this dataset is 0.00 eV per formula unit. As for the space-group type: P4/mmm, No. 123. The calculation puts the uncorrected formation energy at 0.70 eV per atom. The crystal system is tetragonal.

***

3.
## Ac2PaNi3H12 (PBE)

Data for a relaxed structure of Ac2PaNi3H12.

Structure (extended XYZ):
```
18
Lattice="-4.6607 1.9315 -3.7597 0.3201 -1.2192 -6.1643 -3.8998 -4.2605 -2.4956" Properties=species:S:1:pos:R:3 pbc="T T T"
Pa 0.0000 0.0000 0.0000
Ni -2.3303 0.9657 -1.8799
Ac -3.2125 -1.3833 -4.8418
Ni -1.9499 -2.1302 -1.2478
H -4.6171 -3.6285 -4.8093
Ni 0.1601 -0.6096 -3.0822
H -6.3051 -1.8525 -5.2787
Ac -5.0279 -2.1649 -7.5778
H -1.9352 -1.6957 -7.1409
H -7.3220 -2.5514 -8.0903
H -3.1397 -3.8548 -6.8069
H -5.1150 -3.9475 -9.1557
H -5.1006 0.3066 -5.6127
H -0.9184 -0.9967 -4.3294
H -3.6233 0.0803 -7.6103
H -3.1254 0.3993 -3.2639
H -2.7882 -2.3443 -2.7037
H -5.4521 -1.2038 -9.7159
```

Calculated values
As for the space-group type: R-3m, No. 166. The crystal system is trigonal.

***

4.
## TbErSnRu (PBE)

Data for a relaxed structure of TbErSnRu.

Structure (extended XYZ):
```
4
Lattice="5.0605 0.0000 0.0000 2.5303 4.3825 0.0000 2.5303 1.4608 4.1319" Properties=species:S:1:pos:R:3 pbc="T T T"
Er 0.0000 0.0000 0.0000
Sn 2.5303 1.4608 1.0330
Tb 5.0605 2.9217 2.0659
Ru 7.5908 4.3825 3.0989
```

Calculated values
As for the space-group type: F-43m, No. 216. The crystal system is cubic. The formation energy is -40.2 kJ per mole of atoms.

***

5.
## TcPW (PBE)

Data for a relaxed structure of TcPW.

Structure (extended XYZ):
```
3
Lattice="0.0000 2.9109 2.9109 2.9109 0.0000 2.9109 2.9109 2.9109 0.0000" Properties=species:S:1:pos:R:3 pbc="T T T"
Tc 1.4555 1.4555 1.4555
W 0.0000 0.0000 0.0000
P 2.9109 2.9109 2.9109
```

Calculated values
The energy above the most stable polymorph in this dataset is 0.64 eV per formula unit. As for the space-group type: F-43m, No. 216. The crystal system is cubic. The formation energy is 0.4 kJ per mole of atoms.

***

6.
## CdTcNi2 (PBE)

Data for a relaxed structure of CdTcNi2.

Structure (extended XYZ):
```
4
Lattice="3.5484 0.0000 0.0000 0.0000 2.7195 -0.0087 0.0000 2.7413 5.8623" Properties=species:S:1:pos:R:3 pbc="T T T"
Ni 0.0000 2.7214 0.2199
Ni 0.0000 2.7285 2.6981
Tc 1.7742 1.3652 1.4634
Cd 1.7742 4.0956 4.3902
```

Calculated values
As for the space-group type: Pmmm, No. 47. The crystal system is orthorhombic. The formation energy is 12.3 kJ per mole of atoms.

***

7.
## ScFe2 (PBE)

Data for a relaxed structure of ScFe2.

Structure (extended XYZ):
```
3
Lattice="-4.7552 -1.2329 1.5976 -2.8921 -4.1465 -1.0617 4.6708 1.6572 1.4567" Properties=species:S:1:pos:R:3 pbc="T T T"
Sc -3.8237 -2.6897 0.2680
Fe -6.1950 -4.3578 0.4341
Fe -1.4523 -1.0216 0.1018
```

Calculated values
As for the space-group type: I4/mmm, No. 139. The crystal system is tetragonal. The formation energy is -0.6 kJ per mole of atoms.

***

8.
## Ca2AlIn (PBE)

Data for a relaxed structure of Ca2AlIn.

Structure (extended XYZ):
```
4
Lattice="4.7642 0.0000 0.0000 0.0000 3.9057 0.3917 0.0000 1.3259 6.2454" Properties=species:S:1:pos:R:3 pbc="T T T"
Ca 2.3821 1.5042 2.0889
Al 2.3821 3.1828 5.0039
In 0.0000 3.3548 3.3106
Ca 0.0000 5.0372 6.1892
```

Calculated values
The energy above the most stable polymorph in this dataset is 0.00 eV per formula unit. As for the space-group type: Pm, No. 6. The crystal system is monoclinic. The formation energy is -31.3 kJ per mole of atoms.

***

no.,DFT total energy (eV per atom),Fermi-level density of states (states/eV/cell)
1,-4.82,6.164
2,-3.29,3.287
3,-4.42,9.793
4,-6.03,2.544
5,-9.57,0.593
6,-5.58,3.722
7,-7.76,3.553
8,-2.95,2.152